Density functional theory data (PBE-GGA) for a relaxed structure of PuTlW.

As for the total energy: -106.7 eV/cell. The calculation puts the energy above the lowest structure with this stoichiometry at 0 meV per atom.

The structure belongs to space group F-43m (No. 216); the cell edges are 6.679, 6.679 and 6.679 Å and the angles 90.00°, 90.00° and 90.00°. Symmetry generates all atoms from Pu at (0.000, 0.000, 0.000), Tl at (0.000, 0.000, 0.500) and W at (0.250, 0.250, 0.750).